The following is a PBE calculation of a relaxed YCoBr2 crystal, from Alexandria.

Computed properties:
- E_form (uncorrected) (eV per atom) = -0.2796
- magnetic moment (μB per cell) = 0.000
- Fermi-level density of states (states/eV/f.u.) = 0.56
- ΔE to the lowest computed polymorph (eV/atom) = 0.4662
- calculated volume (Å³/cell) = 188.2

a = 4.803 Å, b = 4.803 Å, c = 8.837 Å
α = 74.23°, β = 74.23°, γ = 90.00°
Fractional positions:
Y1 0.000 0.000 0.000
Y2 0.750 0.250 0.500
Co1 0.500 0.500 0.000
Co2 0.250 0.750 0.500
Br1 0.585 0.125 0.250
Br2 0.165 0.625 0.250
Br3 0.375 0.415 0.750
Br4 0.875 0.835 0.750